No. 1
An optimized crystal structure of SiMo2Pb, computed with PBE.

Values from the calculation:
Energy above the lowest structure with this stoichiometry, eV/f.u.: 1.03

Lattice parameters (Å, degrees): 3.4399 4.9739 8.2563 90.00 90.00 90.00
With the nearest neighbours (Å) after each atom.
Space group Immm (No. 71)
Asymmetric unit:
Si1 0.0000 0.0000 0.0000 [2 per cell]  4 Mo 2.42
Mo1 0.0000 0.5000 0.2931 [4 per cell]  2 Si 2.42
Pb1 0.0000 0.0000 0.5000 [2 per cell]  8 Mo 2.97-3.02, 4 Si 3.02

---

No. 2
An optimized crystal structure of Be2TeRh, computed with PBE.

Values from the calculation:
Raw total energy, eV/cell: -36.6

Lattice parameters (Å, degrees): 3.6486 2.9435 11.4630 90.00 90.00 90.00
With the nearest neighbours (Å) after each atom.
Space group Amm2 (No. 38)
Asymmetric unit:
Be1 0.0000 0.0000 0.0000 [2 per cell]  2 Be 2.23, 2 Rh 2.26
Be2 0.5000 0.0000 0.1124 [2 per cell]  2 Be 2.23, 4 Rh 2.38
Te1 0.5000 0.0000 0.8433 [2 per cell]  2 Be 2.56
Rh1 0.0000 0.0000 0.6496 [2 per cell]  6 Be 2.26-2.38

---

No. 3
An optimized crystal structure of SiIrSe2, computed with PBE.

Values from the calculation:
Raw total energy, eV/cell: -80.7

Lattice parameters (Å, degrees): 5.6473 5.6473 11.5209 90.00 90.00 90.00
With the nearest neighbours (Å) after each atom.
Space group I-42d (No. 122)
Asymmetric unit:
Si1 0.0000 0.0000 0.0000 [4 per cell]  4 Se 2.51
Ir1 0.0000 0.0000 0.5000 [4 per cell]  4 Se 2.42
Se1 0.2357 0.2500 0.6250 [8 per cell]  2 Ir 2.42, 2 Si 2.51

---

No. 4
An optimized crystal structure of DyErBi2, computed with PBE.

Values from the calculation:
E_form, meV/atom: -835
Energy above the lowest structure with this stoichiometry, eV/f.u.: 0.01

Lattice parameters (Å, degrees): 7.7186 4.4632 7.7197 90.00 109.56 90.00
With the nearest neighbours (Å) after each atom.
Space group C2/m (No. 12)
Asymmetric unit:
Dy1 0.0000 0.0000 0.0000 [2 per cell]  6 Bi 3.16
Er1 0.0000 0.5000 0.5000 [2 per cell]  6 Bi 3.14
Bi1 0.2493 0.0000 0.7478 [4 per cell]  3 Er 3.14, 3 Dy 3.16

---

No. 5
An optimized crystal structure of PuTlGa2, computed with PBE.

Values from the calculation:
E_form, meV/atom: -42
Energy above the lowest structure with this stoichiometry, eV/f.u.: 0.58

Lattice parameters (Å, degrees): 3.2737 3.2737 8.8564 90.00 90.00 90.00
With the nearest neighbours (Å) after each atom.
Space group P4/mmm (No. 123)
Asymmetric unit:
Pu1 0.0000 0.0000 0.0000 [1 per cell]  8 Ga 3.10, 4 Pu 3.27
Tl1 0.0000 0.0000 0.5000 [1 per cell]  4 Tl 3.27, 8 Ga 3.31
Ga1 0.5000 0.5000 0.2327 [2 per cell]  4 Pu 3.10, 4 Ga 3.27, 4 Tl 3.31

---

No. 6
An optimized crystal structure of Be2NiAg, computed with PBE.

Values from the calculation:
E_form, meV/atom: 17
Energy above the lowest structure with this stoichiometry, eV/f.u.: 0.61

Lattice parameters (Å, degrees): 8.5416 2.6739 4.0784 90.00 108.13 90.00
With the nearest neighbours (Å) after each atom.
Space group Cm (No. 8)
Asymmetric unit:
Be1 0.0000 0.0000 0.0000 [2 per cell]  3 Ni 2.35-2.47, 2 Be 2.38, 4 Ag 2.42-2.46
Be2 0.2291 0.5000 0.3111 [2 per cell]  4 Ni 2.36-2.54, 2 Be 2.38, 3 Ag 2.44-2.46
Ni1 0.2614 0.0000 0.8586 [2 per cell]  7 Be 2.35-2.54
Ag1 0.4830 0.0000 0.4942 [2 per cell]  7 Be 2.42-2.46, 2 Ag 2.67, 1 Ni 2.69

---

No. 7
An optimized crystal structure of BeSiOs2, computed with PBE.

Values from the calculation:
Raw total energy, eV/cell: -62.2

Lattice parameters (Å, degrees): 2.9070 4.7625 7.4671 90.00 90.00 90.00
With the nearest neighbours (Å) after each atom.
Space group Cmmm (No. 65)
Asymmetric unit:
Be1 0.0000 0.0000 0.0000 [2 per cell]  4 Os 2.34
Si1 0.0000 0.0000 0.5000 [2 per cell]  4 Os 2.39
Os1 0.0000 0.5000 0.2462 [4 per cell]  2 Be 2.34, 2 Si 2.39

---

No. 8
An optimized crystal structure of Ac4Pm3Sm4, computed with PBE.

Values from the calculation:
E_form, meV/atom: 539

Lattice parameters (Å, degrees): 3.7621 16.1562 16.3997 90.00 90.00 90.00
With the nearest neighbours (Å) after each atom.
Space group Immm (No. 71)
Asymmetric unit:
Ac1 0.0000 0.0000 0.1575 [4 per cell]  2 Sm 3.56, 4 Pm 3.61, 2 Ac 3.76
Ac2 0.0000 0.2803 0.0000 [4 per cell]  3 Pm 3.41-3.55, 4 Sm 3.61, 2 Ac 3.76
Pm1 0.0000 0.3957 0.5000 [4 per cell]  3 Pm 3.37-3.76, 6 Ac 3.41-3.61
Pm2 0.0000 0.5000 0.0000 [2 per cell]  2 Ac 3.55, 8 Sm 3.71, 2 Pm 3.76
Sm1 0.0000 0.1159 0.3424 [8 per cell]  3 Ac 3.56-3.61, 2 Pm 3.71, 3 Sm 3.75-3.76

---

No. 9
An optimized crystal structure of Y3CrBr, computed with PBE.

Values from the calculation:
Energy above the lowest structure with this stoichiometry, eV/f.u.: 0.00

Lattice parameters (Å, degrees): 5.3307 5.3307 5.3307 90.00 90.00 90.00
With the nearest neighbours (Å) after each atom.
Space group Pm-3m (No. 221)
Asymmetric unit:
Y1 0.0000 0.0000 0.5000 [3 per cell]  2 Br 2.67
Cr1 0.5000 0.5000 0.5000 [1 per cell]  12 Y 3.77
Br1 0.0000 0.0000 0.0000 [1 per cell]  6 Y 2.67

---

No. 10
An optimized crystal structure of Y5SnIr2, computed with PBE.

Values from the calculation:
E_form, meV/atom: -745

Lattice parameters (Å, degrees): 7.7959 7.7959 13.5190 90.00 90.00 90.00
With the nearest neighbours (Å) after each atom.
Space group I4/mcm (No. 140)
Asymmetric unit:
Y1 0.0000 0.0000 0.0000 [4 per cell]  4 Ir 3.02, 2 Sn 3.38
Y2 0.1593 0.3407 0.1349 [16 per cell]  3 Ir 2.88-2.96
Sn1 0.0000 0.0000 0.2500 [4 per cell]  10 Y 3.32-3.38
Ir1 0.1384 0.3616 0.5000 [8 per cell]  8 Y 2.88-3.02, 1 Ir 3.05

---

No. 11
An optimized crystal structure of LaPaTc2, computed with PBE.

Values from the calculation:
E_form, meV/atom: 164
Energy above the lowest structure with this stoichiometry, eV/f.u.: 0.90

Lattice parameters (Å, degrees): 3.4214 3.4214 26.2295 90.00 90.00 120.00
With the nearest neighbours (Å) after each atom.
Space group R-3m (No. 166, hexagonal axes)
Asymmetric unit:
La1 0.0000 0.0000 0.0000 [3 per cell]  6 Tc 3.22, 6 La 3.42
Pa1 0.0000 0.0000 0.5000 [3 per cell]  6 Tc 2.69
Tc1 0.0000 0.0000 0.2364 [6 per cell]  3 Pa 2.69

---

No. 12
An optimized crystal structure of RbSn3Se, computed with PBE.

Values from the calculation:
Energy above the lowest structure with this stoichiometry, eV/f.u.: 6.57

Lattice parameters (Å, degrees): 6.1278 6.1278 6.1278 90.00 90.00 90.00
With the nearest neighbours (Å) after each atom.
Space group Pm-3m (No. 221)
Asymmetric unit:
Rb1 0.0000 0.0000 0.0000 [1 per cell]  6 Sn 3.06
Sn1 0.0000 0.0000 0.5000 [3 per cell]  2 Rb 3.06
Se1 0.5000 0.5000 0.5000 [1 per cell]  12 Sn 4.33